Entry 1:
Rb2NpSbS5: relaxed, PBE.

Results
VASP energy ... -5.324 eV/atom
Symmetry ... Cmc2_1, No. 36
Formation energy from raw total energies ... -8.28 eV/f.u.

Unit cell a=4.2243 b=9.3297 c=15.0431 alpha=90.00 beta=90.00 gamma=103.08
With the nearest neighbours (Å) after each atom.
Fractional positions:
Rb: 0.8556 0.7111 0.8064  7 S 3.41-3.58
Rb: 0.0969 0.1939 0.6599  6 S 3.30-3.48
Rb: 0.1444 0.2889 0.3064  7 S 3.41-3.58
Rb: 0.9031 0.8061 0.1599  6 S 3.30-3.48
Np: 0.7889 0.5778 0.5313  4 S 2.46-2.67
Np: 0.2111 0.4222 0.0313  4 S 2.46-2.67
Sb: 0.5427 0.0854 0.9377  2 S 2.38-2.54
Sb: 0.4573 0.9146 0.4377  2 S 2.38-2.54
S: 0.3424 0.6849 0.9910  1 Np 2.46
S: 0.6812 0.3623 0.9151  1 Sb 2.54, 2 Np 2.79
S: 0.5022 0.0043 0.7875  1 Sb 2.38
S: 0.2779 0.5558 0.6392  2 Np 2.67
S: 0.9291 0.8582 0.5558  1 Np 2.57, 2 Sb 2.81
S: 0.6576 0.3151 0.4910  1 Np 2.46
S: 0.3188 0.6377 0.4151  1 Sb 2.54, 2 Np 2.79
S: 0.4978 0.9957 0.2875  1 Sb 2.38
S: 0.7221 0.4442 0.1392  2 Np 2.67
S: 0.0709 0.1418 0.0558  1 Np 2.57, 2 Sb 2.81

=====

Entry 2:
Rb2NpScS4: relaxed, PBE.

Results
VASP energy ... -6.231 eV/atom
Symmetry ... P2/m, No. 10
Formation energy from raw total energies ... -12.13 eV/f.u.

Unit cell a=4.0121 b=6.9182 c=7.9900 alpha=106.87 beta=90.00 gamma=90.00
With the nearest neighbours (Å) after each atom.
Fractional positions:
Rb: 0.5000 0.0000 0.5000  6 S 3.28-3.29
Rb: 0.0000 0.5000 0.5000  6 S 3.36-3.37
Np: 0.5000 0.5000 0.0000  6 S 2.76-2.78
Sc: 0.0000 0.0000 0.0000  6 S 2.65-2.68
S: 0.5000 0.2168 0.1854  2 Sc 2.68, 1 Np 2.78
S: 0.5000 0.7832 0.8146  2 Sc 2.68, 1 Np 2.78
S: 0.0000 0.2586 0.8113  1 Sc 2.65, 2 Np 2.76
S: 0.0000 0.7414 0.1887  1 Sc 2.65, 2 Np 2.76

=====

Entry 3:
Rb2Np2ScS6: relaxed, PBE.

Results
VASP energy ... -6.867 eV/atom
Symmetry ... C2/m, No. 12
Formation energy from raw total energies ... -16.62 eV/f.u.

Unit cell a=6.8477 b=6.8477 c=8.1640 alpha=98.01 beta=98.01 gamma=119.81
With the nearest neighbours (Å) after each atom.
Fractional positions:
Rb: 0.8332 0.1668 0.0000  6 S 3.36-3.42
Rb: 0.1668 0.8332 0.0000  6 S 3.36-3.42
Np: 0.3339 0.6661 0.5000  6 S 2.72-2.73
Np: 0.6661 0.3339 0.5000  6 S 2.72-2.73
Sc: 0.0000 0.0000 0.5000  6 S 2.63-2.65
S: 0.7389 0.7389 0.6820  1 Sc 2.63, 2 Np 2.72
S: 0.0599 0.3854 0.6825  1 Sc 2.65, 2 Np 2.72-2.73
S: 0.2611 0.2611 0.3180  1 Sc 2.63, 2 Np 2.72
S: 0.3854 0.0599 0.6825  1 Sc 2.65, 2 Np 2.72-2.73
S: 0.9401 0.6146 0.3175  1 Sc 2.65, 2 Np 2.72-2.73
S: 0.6146 0.9401 0.3175  1 Sc 2.65, 2 Np 2.72-2.73

=====

Entry 4:
Rb4Np3ScS8: relaxed, PBE.

Results
VASP energy ... -6.567 eV/atom
Symmetry ... R-3m, No. 166
Formation energy from raw total energies ... -23.04 eV/f.u.

Unit cell a=8.1260 b=8.9820 c=8.1260 alpha=116.90 beta=120.00 gamma=90.00
With the nearest neighbours (Å) after each atom.
Fractional positions:
Rb: 0.5000 0.0000 0.0000  6 S 3.40
Rb: 0.5000 0.0000 0.5000  6 S 3.32-3.33
Rb: 0.0000 0.0000 0.0000  6 S 3.32-3.33
Rb: 0.0000 0.0000 0.5000  6 S 3.32-3.33
Np: 0.5000 0.5000 0.0000  6 S 2.76-2.79
Np: 0.5000 0.5000 0.5000  6 S 2.76-2.79
Np: 0.0000 0.5000 0.5000  6 S 2.76-2.79
Sc: 0.0000 0.5000 0.0000  6 S 2.69
S: 0.2237 0.6880 0.9643  1 Sc 2.69, 2 Np 2.79
S: 0.2237 0.6880 0.4475  1 Sc 2.69, 2 Np 2.79
S: 0.2698 0.3094 0.5396  3 Np 2.76
S: 0.7406 0.6880 0.9643  1 Sc 2.69, 2 Np 2.79
S: 0.2594 0.3120 0.0357  1 Sc 2.69, 2 Np 2.79
S: 0.7302 0.6906 0.4604  3 Np 2.76
S: 0.7763 0.3120 0.5525  1 Sc 2.69, 2 Np 2.79
S: 0.7763 0.3120 0.0357  1 Sc 2.69, 2 Np 2.79

=====

Entry 5:
Rb3NpSc3S8: relaxed, PBE.

Results
VASP energy ... -6.171 eV/atom
Symmetry ... R-3m, No. 166
Formation energy from raw total energies ... -24.71 eV/f.u.

Unit cell a=7.7248 b=7.7248 c=8.9511 alpha=115.57 beta=90.00 gamma=120.00
With the nearest neighbours (Å) after each atom.
Fractional positions:
Rb: 0.0000 0.0000 0.0000  6 S 3.33-3.34
Rb: 0.0000 0.5000 0.0000  6 S 3.33-3.34
Rb: 0.5000 0.5000 0.0000  6 S 3.33-3.34
Np: 0.0000 0.0000 0.5000  6 S 2.69
Sc: 0.5000 0.0000 0.5000  6 S 2.62-2.63
Sc: 0.5000 0.5000 0.5000  6 S 2.62-2.64
Sc: 0.0000 0.5000 0.5000  6 S 2.62-2.64
S: 0.2730 0.5461 0.3191  3 Sc 2.63-2.64
S: 0.7270 0.4539 0.6809  3 Sc 2.63-2.64
S: 0.7681 0.5362 0.3167  2 Sc 2.62, 1 Np 2.69
S: 0.2319 0.4638 0.6832  2 Sc 2.62, 1 Np 2.69
S: 0.7681 0.0486 0.3167  2 Sc 2.62, 1 Np 2.69
S: 0.2319 0.9514 0.6833  2 Sc 2.62, 1 Np 2.69
S: 0.2806 0.0486 0.3167  2 Sc 2.62, 1 Np 2.69
S: 0.7194 0.9514 0.6833  2 Sc 2.62, 1 Np 2.69

=====

Entry 6:
Rb3NpSc2S6: relaxed, PBE.

Results
VASP energy ... -6.016 eV/atom
Symmetry ... C2/m, No. 12
Formation energy from raw total energies ... -18.93 eV/f.u.

Unit cell a=6.8646 b=6.8646 c=7.9730 alpha=98.25 beta=98.25 gamma=120.00
With the nearest neighbours (Å) after each atom.
Fractional positions:
Rb: 0.1656 0.8344 0.5000  6 S 3.26-3.35
Rb: 0.8344 0.1656 0.5000  6 S 3.26-3.35
Rb: 0.5000 0.5000 0.5000  6 S 3.26-3.35
Np: 0.0000 0.0000 0.0000  6 S 2.77
Sc: 0.3333 0.6667 0.0000  6 S 2.66
Sc: 0.6667 0.3333 0.0000  6 S 2.66
S: 0.9380 0.5915 0.8140  2 Sc 2.66, 1 Np 2.77
S: 0.7155 0.7155 0.1857  2 Sc 2.66, 1 Np 2.77
S: 0.0620 0.4085 0.1860  2 Sc 2.66, 1 Np 2.77
S: 0.5915 0.9380 0.8140  2 Sc 2.66, 1 Np 2.77
S: 0.2845 0.2845 0.8143  2 Sc 2.66, 1 Np 2.77
S: 0.4085 0.0620 0.1860  2 Sc 2.66, 1 Np 2.77

=====

Entry 7:
Rb2NpSc2S6: relaxed, PBE.

Results
VASP energy ... -6.384 eV/atom
Symmetry ... C2/m, No. 12
Formation energy from raw total energies ... -17.92 eV/f.u.

Unit cell a=6.7021 b=6.7021 c=8.1590 alpha=97.88 beta=97.88 gamma=120.23
With the nearest neighbours (Å) after each atom.
Fractional positions:
Rb: 0.8334 0.1666 0.0000  6 S 3.32-3.37
Rb: 0.1666 0.8334 0.0000  6 S 3.32-3.37
Np: 0.0000 0.0000 0.5000  6 S 2.69
Sc: 0.3332 0.6668 0.5000  6 S 2.62-2.63
Sc: 0.6668 0.3332 0.5000  6 S 2.62-2.63
S: 0.7195 0.7195 0.6814  2 Sc 2.63, 1 Np 2.69
S: 0.0596 0.4013 0.6811  2 Sc 2.62, 1 Np 2.69
S: 0.2805 0.2805 0.3186  2 Sc 2.63, 1 Np 2.69
S: 0.4013 0.0596 0.6811  2 Sc 2.62, 1 Np 2.69
S: 0.9404 0.5987 0.3189  2 Sc 2.62, 1 Np 2.69
S: 0.5987 0.9404 0.3189  2 Sc 2.62, 1 Np 2.69

=====

Entry 8:
Rb2Np2Se2S: relaxed, PBE.

Results
VASP energy ... -6.427 eV/atom
Symmetry ... I4/mmm, No. 139
Formation energy from raw total energies ... -6.07 eV/f.u.

Unit cell a=5.2212 b=5.2212 c=9.4096 alpha=106.11 beta=106.11 gamma=90.00
With the nearest neighbours (Å) after each atom.
Fractional positions:
Rb: 0.1886 0.1886 0.3771  1 S 3.26, 1 Se 3.57
Rb: 0.8114 0.8114 0.6229  1 S 3.26, 1 Se 3.57
Np: 0.0000 0.5000 0.0000  2 S 2.61
Np: 0.5000 0.0000 0.0000  2 S 2.61
Se: 0.3948 0.3948 0.7897  4 Np 3.18
Se: 0.6052 0.6052 0.2103  4 Np 3.18
S: 0.0000 0.0000 0.0000  4 Np 2.61

=====

Entry 9:
RbNpSeS: relaxed, PBE.

Results
VASP energy ... -6.663 eV/atom
Symmetry ... R3m, No. 160
Formation energy from raw total energies ... -5.13 eV/f.u.

Unit cell a=4.1805 b=4.1807 c=8.3099 alpha=90.00 beta=104.57 gamma=120.00
With the nearest neighbours (Å) after each atom.
Fractional positions:
Rb: 0.9620 0.3790 0.3560  3 S 3.38, 3 Se 3.49-3.50
Np: 0.3119 0.5539 0.8811  3 S 2.80, 3 Se 2.92
Se: 0.5072 0.1515 0.6740  3 Np 2.92
S: 0.0969 0.9464 0.0585  3 Np 2.80

=====

Entry 10:
RbNp2SeS4: relaxed, PBE.

Results
VASP energy ... -6.826 eV/atom
Symmetry ... Cmcm, No. 63
Formation energy from raw total energies ... -7.77 eV/f.u.

Unit cell a=3.9765 b=7.4876 c=13.4888 alpha=90.00 beta=90.00 gamma=105.40
With the nearest neighbours (Å) after each atom.
Fractional positions:
Rb: 0.1438 0.2876 0.7500  6 S 3.03-3.28
Rb: 0.8562 0.7124 0.2500  6 S 3.03-3.28
Np: 0.3736 0.7472 0.5850  6 S 2.75-2.93, 2 Se 2.99
Np: 0.6264 0.2528 0.0850  6 S 2.75-2.93, 2 Se 2.99
Np: 0.6264 0.2528 0.4150  6 S 2.75-2.93, 2 Se 2.99
Np: 0.3736 0.7472 0.9150  6 S 2.75-2.93, 2 Se 2.99
Se: 0.8606 0.7212 0.7500  4 S 2.68-2.85, 4 Np 2.99
Se: 0.1394 0.2788 0.2500  4 S 2.68-2.85, 4 Np 2.99
S: 0.2622 0.5243 0.0843  3 Np 2.79, 1 Se 2.85, 2 S 3.04
S: 0.7378 0.4757 0.5843  3 Np 2.79, 1 Se 2.85, 2 S 3.04
S: 0.7378 0.4757 0.9157  3 Np 2.79, 1 Se 2.85, 2 S 3.04
S: 0.2622 0.5243 0.4157  3 Np 2.79, 1 Se 2.85, 2 S 3.04
S: 0.0000 0.0000 0.5000  4 Np 2.93
S: 0.0000 0.0000 0.0000  4 Np 2.93
S: 0.4856 0.9711 0.7500  2 Se 2.68, 2 Np 2.75
S: 0.5144 0.0289 0.2500  2 Se 2.68, 2 Np 2.75

=====

Entry 11:
RbNpSe3S: relaxed, PBE.

Results
VASP energy ... -5.639 eV/atom
Symmetry ... P2_1/m, No. 11
Formation energy from raw total energies ... -5.35 eV/f.u.

Unit cell a=4.0796 b=8.6841 c=10.8332 alpha=109.38 beta=90.00 gamma=90.00
With the nearest neighbours (Å) after each atom.
Fractional positions:
Rb: 0.2500 0.2373 0.3116  7 Se 3.44-3.74, 2 S 3.72
Rb: 0.7500 0.7627 0.6884  7 Se 3.44-3.74, 2 S 3.72
Np: 0.2500 0.6755 0.1723  4 Se 2.64-2.95, 2 S 2.74
Np: 0.7500 0.3245 0.8277  4 Se 2.64-2.95, 2 S 2.74
Se: 0.7500 0.8890 0.0981  1 S 2.24
Se: 0.2500 0.1110 0.9019  1 S 2.24
Se: 0.2500 0.6574 0.4105  1 Np 2.64
Se: 0.7500 0.3426 0.5895  1 Np 2.64
Se: 0.7500 0.4349 0.1161  3 Np 2.84-2.95
Se: 0.2500 0.5651 0.8839  3 Np 2.84-2.95
S: 0.2500 0.1251 0.6992  1 Se 2.24
S: 0.7500 0.8749 0.3008  1 Se 2.24

=====

Entry 12:
Rb2NpSeS2: relaxed, PBE.

Results
VASP energy ... -5.469 eV/atom
Symmetry ... P4/mmm, No. 123
Formation energy from raw total energies ... -6.20 eV/f.u.

Unit cell a=5.3721 b=5.3721 c=6.4338 alpha=90.00 beta=90.00 gamma=90.00
With the nearest neighbours (Å) after each atom.
Fractional positions:
Rb: 0.5000 0.5000 0.7318  1 Rb 2.98, 4 S 3.19
Rb: 0.5000 0.5000 0.2682  1 Rb 2.98, 4 S 3.19
Np: 0.0000 0.0000 0.0000  4 S 2.69
Se: 0.0000 0.0000 0.5000  2 Np 3.22
S: 0.5000 0.0000 0.0000  2 Np 2.69
S: 0.0000 0.5000 0.0000  2 Np 2.69